Entry from Alexandria via LeMat-Bulk: a relaxed structure of BaGaC3 (GGA-PBE).

Values from the calculation:
Polymorph energy (0 for the lowest one) ... 1553.7 meV per atom
Uncorrected energy ... -3.045 eV/atom

Unit cell a=5.0581 b=5.0581 c=5.0581 alpha=90.00 beta=90.00 gamma=90.00
Space group Pm-3m (No. 221)
Unique sites:
Ba  0.0000  0.0000  0.0000
Ga  0.5000  0.5000  0.5000
C  0.0000  0.0000  0.5000

Entry from Alexandria via LeMat-Bulk: a relaxed structure of BaGa2C2 (GGA-PBE).

Values from the calculation:
Polymorph energy (0 for the lowest one) ... 37.8 meV per atom
Uncorrected energy ... -4.789 eV/atom

Unit cell a=3.7106 b=3.7106 c=11.9751 alpha=90.00 beta=90.00 gamma=90.00
Space group I4/mmm (No. 139)
Unique sites:
Ba  0.0000  0.0000  0.0000
Ga  0.0000  0.5000  0.2500
C  0.0000  0.0000  0.3410

Entry from Alexandria via LeMat-Bulk: a relaxed structure of Ba2GaHgC (GGA-PBE).

Values from the calculation:
Uncorrected energy ... -2.651 eV/atom

Unit cell a=6.5775 b=6.5775 c=3.9676 alpha=90.00 beta=90.00 gamma=90.00
Space group P4/mmm (No. 123)
Unique sites:
Ba  0.0000  0.5000  0.0000
Ga  0.0000  0.0000  0.5000
Hg  0.5000  0.5000  0.0000
C  0.5000  0.5000  0.5000

Entry from Alexandria via LeMat-Bulk: a relaxed structure of Ba2GaIrC (GGA-PBE).

Values from the calculation:
Uncorrected energy ... -5.072 eV/atom

Unit cell a=5.9185 b=5.9185 c=3.8934 alpha=90.00 beta=90.00 gamma=90.00
Space group P4/mmm (No. 123)
Unique sites:
Ba  0.0000  0.5000  0.0000
Ga  0.0000  0.0000  0.5000
Ir  0.5000  0.5000  0.5000
C  0.5000  0.5000  0.0000

Entry from Alexandria via LeMat-Bulk: a relaxed structure of BaGaNi2C (GGA-PBE).

Values from the calculation:
Polymorph energy (0 for the lowest one) ... 577.1 meV per atom
Uncorrected energy ... -3.706 eV/atom

Unit cell a=4.3490 b=4.3490 c=6.3438 alpha=90.00 beta=90.00 gamma=90.00
Space group P4/mmm (No. 123)
Unique sites:
Ba  0.0000  0.0000  0.0000
Ga  0.0000  0.0000  0.5000
Ni  0.0000  0.5000  0.5000
C  0.5000  0.5000  0.0000

Entry from Alexandria via LeMat-Bulk: a relaxed structure of BaGaNi2C (GGA-PBE).

Values from the calculation:
Polymorph energy (0 for the lowest one) ... 0.0 meV per atom
Uncorrected energy ... -4.283 eV/atom

Unit cell a=4.6967 b=4.6967 c=4.1300 alpha=90.00 beta=90.00 gamma=90.00
Space group P4/mmm (No. 123)
Unique sites:
Ba  0.0000  0.0000  0.0000
Ga  0.5000  0.5000  0.5000
Ni  0.0000  0.5000  0.5000
C  0.5000  0.5000  0.0000

Entry from Alexandria via LeMat-Bulk: a relaxed structure of BaGaTc2C (GGA-PBE).

Values from the calculation:
Uncorrected energy ... -5.268 eV/atom

Unit cell a=4.9358 b=4.9358 c=4.1338 alpha=90.00 beta=90.00 gamma=90.00
Space group P4/mmm (No. 123)
Unique sites:
Ba  0.0000  0.0000  0.0000
Ga  0.5000  0.5000  0.5000
Tc  0.0000  0.5000  0.5000
C  0.5000  0.5000  0.0000

Entry from Alexandria via LeMat-Bulk: a relaxed structure of BaGd2C (GGA-PBE).

Values from the calculation:
Uncorrected energy ... -9.871 eV/atom

Unit cell a=3.6843 b=3.6843 c=30.7664 alpha=90.00 beta=90.00 gamma=120.00
Space group R-3m (No. 166, hexagonal axes)
Unique sites:
Ba  0.0000  0.0000  0.0000
Gd  0.0000  0.0000  0.1229
C  0.0000  0.0000  0.5000

Entry from Alexandria via LeMat-Bulk: a relaxed structure of Ba2GeC (GGA-PBE).

Values from the calculation:
Polymorph energy (0 for the lowest one) ... 0.0 meV per atom
Uncorrected energy ... -3.668 eV/atom

Unit cell a=8.4202 b=8.4202 c=6.9048 alpha=90.00 beta=90.00 gamma=90.00
Space group I-42d (No. 122)
Unique sites:
Ba  0.1715  0.2500  0.1250
Ge  0.0000  0.0000  0.5000
C  0.0000  0.0000  0.0000

Entry from Alexandria via LeMat-Bulk: a relaxed structure of BaGeC2 (GGA-PBE).

Values from the calculation:
Uncorrected energy ... -5.265 eV/atom

Unit cell a=5.0220 b=5.0220 c=11.6058 alpha=90.00 beta=90.00 gamma=90.00
Space group I-42d (No. 122)
Unique sites:
Ba  0.0000  0.0000  0.0000
Ge  0.0000  0.0000  0.5000
C  0.0574  0.2500  0.6250

Entry from Alexandria via LeMat-Bulk: a relaxed structure of Ba3GeC (GGA-PBE).

Values from the calculation:
Polymorph energy (0 for the lowest one) ... 0.0 meV per atom
Uncorrected energy ... -3.646 eV/atom

Unit cell a=5.6142 b=5.6142 c=5.6142 alpha=90.00 beta=90.00 gamma=90.00
Space group Pm-3m (No. 221)
Unique sites:
Ba  0.0000  0.0000  0.5000
Ge  0.5000  0.5000  0.5000
C  0.0000  0.0000  0.0000

Entry from Alexandria via LeMat-Bulk: a relaxed structure of Ba2GeC (GGA-PBE).

Values from the calculation:
Polymorph energy (0 for the lowest one) ... 3.7 meV per atom
Uncorrected energy ... -3.664 eV/atom

Unit cell a=7.7307 b=7.7307 c=7.7307 alpha=90.00 beta=90.00 gamma=90.00
Space group Fm-3m (No. 225)
Unique sites:
Ba  0.2500  0.2500  0.2500
Ge  0.0000  0.0000  0.0000
C  0.0000  0.0000  0.5000

| no. | ΔE_f (meV per atom) |
| --- | --- |
| 1 | 3479 |
| 2 | 496 |
| 3 | 629 |
| 4 | -80 |
| 5 | 1441 |
| 6 | 864 |
| 7 | 1713 |
| 8 | -44 |
| 9 | 754 |
| 10 | 982 |
| 11 | 276 |
| 12 | 758 |